# BaSmGe4 (GGA-PBE, relaxed)
# **Formation energy**: -0.514 eV/atom
# **Magnetic moment**: 0.00 μB/cell
data_BaSmGe4
_cell_length_a 8.232
_cell_length_b 17.427
_cell_length_c 4.465
_cell_angle_alpha 90.00
_cell_angle_beta 90.00
_cell_angle_gamma 90.00
_space_group_name_H-M_alt 'P b a m'
_space_group_IT_number 55
loop_
_space_group_symop_operation_xyz
'x,y,z'
'-x,-y,-z'
'-x,-y,z'
'x,y,-z'
'x+1/2,-y+1/2,-z'
'-x+1/2,y+1/2,z'
'-x+1/2,y+1/2,-z'
'x+1/2,-y+1/2,z'
loop_
_atom_site_label
_atom_site_fract_x
_atom_site_fract_y
_atom_site_fract_z
Ba1 0.132 0.156 0.000
Sm1 0.132 0.413 0.000
Ge1 0.013 0.691 0.500
Ge2 0.120 0.950 0.500
Ge3 0.128 0.542 0.500
Ge4 0.205 0.806 0.500